The following is a DFT calculation (GGA-PBE) of crystalline CeDyIn2 at its relaxed geometry.

Lattice parameters (Å, degrees): 3.457 3.457 9.034 90.00 90.00 90.00
Fractional positions:
Ce 0.000 0.000 0.000
Dy 0.000 0.000 0.500
In 0.500 0.500 0.256
In 0.500 0.500 0.744

symmetry	P4/mmm (123)
magnetization	1.19	μB/cell
calculated formation energy	-0.4133	eV/atom

The following is a DFT calculation (GGA-PBE) of crystalline MnCr2Ni at its relaxed geometry.

Lattice parameters (Å, degrees): 2.384 3.900 4.952 90.00 103.52 90.00
Fractional positions:
Mn 0.000 0.000 0.000
Cr 0.196 0.500 0.755
Cr 0.380 0.000 0.494
Ni 0.669 0.500 0.251

symmetry	Pm (6)
magnetization	0.00	μB/cell
calculated formation energy	0.1088	eV/atom

The following is a DFT calculation (GGA-PBE) of crystalline Na2Ta2PdS6 at its relaxed geometry.

Lattice parameters (Å, degrees): 6.127 6.127 7.079 97.77 97.77 118.72
Fractional positions:
Na 0.172 0.828 0.000
Na 0.828 0.172 0.000
Ta 0.363 0.637 0.500
Ta 0.637 0.363 0.500
Pd 0.000 0.000 0.500
S 0.042 0.387 0.689
S 0.317 0.317 0.235
S 0.387 0.042 0.689
S 0.613 0.958 0.311
S 0.683 0.683 0.765
S 0.958 0.613 0.311

uncorrected formation energy	-0.88	eV/atom
symmetry	C2/m (12)
magnetization	0.00	μB/cell

The following is a DFT calculation (GGA-PBE) of crystalline BaGaOs3 at its relaxed geometry.

Lattice parameters (Å, degrees): 4.750 4.750 4.750 90.00 90.00 90.00
Fractional positions:
Ba 0.000 0.000 0.000
Ga 0.500 0.500 0.500
Os 0.000 0.500 0.500
Os 0.500 0.000 0.500
Os 0.500 0.500 0.000

symmetry	Pm-3m (221)
magnetization	2.33	μB/cell
calculated formation energy	1.5348	eV/atom

The following is a DFT calculation (GGA-PBE) of crystalline KZn4Re at its relaxed geometry.

Lattice parameters (Å, degrees): 5.272 5.272 5.272 60.00 60.00 60.00
Fractional positions:
K 0.000 0.000 0.000
Zn 0.377 0.377 0.377
Zn 0.377 0.377 0.868
Zn 0.377 0.868 0.377
Zn 0.868 0.377 0.377
Re 0.750 0.750 0.750

symmetry	F-43m (216)
magnetization	2.09	μB/cell
calculated formation energy	0.6371	eV/atom

The following is a DFT calculation (GGA-PBE) of crystalline Tl2SbPb at its relaxed geometry.

Lattice parameters (Å, degrees): 3.455 5.090 6.946 90.00 90.00 90.00
Fractional positions:
Tl 0.000 0.000 0.243
Tl 0.000 0.000 0.757
Sb 0.500 0.500 0.000
Pb 0.500 0.500 0.500

uncorrected formation energy	0.03	eV/atom
symmetry	Pmmm (47)
magnetization	0.00	μB/cell

The following is a DFT calculation (GGA-PBE) of crystalline Er2TmPuAs4 at its relaxed geometry.

Lattice parameters (Å, degrees): 7.074 4.098 7.076 90.00 109.46 90.00
Fractional positions:
Er 0.000 0.000 0.000
Er 0.500 0.500 0.000
Tm 0.000 0.500 0.500
Pu 0.500 0.000 0.500
As 0.249 0.000 0.749
As 0.249 0.500 0.250
As 0.751 0.000 0.251
As 0.751 0.500 0.750

symmetry	P2/m (10)
magnetization	4.93	μB/cell
calculated formation energy	-1.3796	eV/atom

The following is a DFT calculation (GGA-PBE) of crystalline PaIn2Se at its relaxed geometry.

Lattice parameters (Å, degrees): 3.518 3.518 30.933 90.00 90.00 120.00
Fractional positions:
Pa 0.000 0.000 0.000
Pa 0.333 0.667 0.667
Pa 0.667 0.333 0.333
In 0.000 0.000 0.102
In 0.000 0.000 0.898
In 0.333 0.667 0.564
In 0.333 0.667 0.769
In 0.667 0.333 0.231
In 0.667 0.333 0.436
Se 0.000 0.000 0.500
Se 0.333 0.667 0.167
Se 0.667 0.333 0.833

uncorrected formation energy	0.19	eV/atom
symmetry	R-3m (166)
magnetization	2.97	μB/cell

Which formula does entry 8 have?
PaIn2Se